No. 1
VASP calculation (PBE) on an optimized crystal structure of UPaFe5P2.

Properties
* DFT formation energy: -0.29 eV per atom
* symmetry: P4/mmm, No. 123
* crystal system: tetragonal

Cell: 3.6417 3.6417 10.2990 Å, 90.00 90.00 90.00°
Positions (direct):
U1 0.0000 0.0000 0.0000
P1 0.5000 0.5000 0.2895
P2 0.5000 0.5000 0.7105
Pa1 0.0000 0.0000 0.5000
Fe1 0.5000 0.5000 0.5000
Fe2 0.0000 0.5000 0.8285
Fe3 0.5000 0.0000 0.1715
Fe4 0.5000 0.0000 0.8285
Fe5 0.0000 0.5000 0.1715

No. 2
VASP calculation (PBE) on an optimized crystal structure of CsSrCd2Te.

Properties
* symmetry: P4/mmm, No. 123
* crystal system: tetragonal

Cell: 6.5555 6.0498 6.5555 Å, 90.00 90.00 90.00°
Positions (direct):
Cd1 0.0000 0.0000 0.5000
Cd2 0.5000 0.0000 0.0000
Cs1 0.5000 0.5000 0.5000
Sr1 0.0000 0.5000 0.0000
Te1 0.0000 0.0000 0.0000

Table of raw total energy (eV per formula unit), in record order: -76.5 -8.0